No. 1
Here is a relaxed structure of TaCu3N from the Alexandria database. Energies are from PBE.

Cell lengths 3.967, 3.967, 3.967 Å; angles 90.00, 90.00, 90.00 degrees
Fractional coordinates of all 5 atoms:
Cu (0.000, 0.500, 0.000)
Cu (0.000, 0.000, 0.500)
Ta (0.500, 0.500, 0.500)
N (0.000, 0.000, 0.000)
Cu (0.500, 0.000, 0.000)

- uncorrected formation energy (eV per atom) = 0.731
- space group = Pm-3m (221)
- offset from the most stable computed form (eV/atom) = 0.000

---

No. 2
Here is a relaxed structure of PmSn4PdRh2 from the Alexandria database. Energies are from PBE.

Cell lengths 4.589, 4.589, 9.445 Å; angles 75.94, 75.94, 60.00 degrees
Fractional coordinates of all 8 atoms:
Sn (0.129, 0.129, 0.612)
Sn (0.871, 0.871, 0.388)
Pd (0.500, 0.500, 0.500)
Pm (0.000, 0.000, 0.000)
Rh (0.764, 0.764, 0.708)
Rh (0.236, 0.236, 0.292)
Sn (0.395, 0.395, 0.816)
Sn (0.605, 0.605, 0.184)

- ΔE_f (meV/atom) = -498
- space group = R-3m (166)

---

No. 3
Here is a relaxed structure of Mn2SiSbAs from the Alexandria database. Energies are from PBE.

Cell lengths 4.383, 5.144, 4.383 Å; angles 90.00, 90.00, 90.00 degrees
Fractional coordinates of all 5 atoms:
Mn (0.500, 0.000, 0.000)
Mn (0.000, 0.000, 0.500)
Sb (0.000, 0.500, 0.000)
Si (0.000, 0.000, 0.000)
As (0.500, 0.500, 0.500)

- uncorrected formation energy (eV per atom) = 1.156
- space group = P4/mmm (123)

---

No. 4
Here is a relaxed structure of Sc2Br from the Alexandria database. Energies are from PBE.

Cell lengths 7.604, 7.604, 5.373 Å; angles 90.00, 90.00, 153.34 degrees
Fractional coordinates of all 6 atoms:
Br (0.200, 0.800, 0.250)
Sc (0.545, 0.455, 0.250)
Sc (0.871, 0.129, 0.250)
Sc (0.129, 0.871, 0.750)
Br (0.800, 0.200, 0.750)
Sc (0.455, 0.545, 0.750)

- uncorrected formation energy (eV per atom) = -0.666
- space group = Cmcm (63)
- offset from the most stable computed form (eV/atom) = 0.000